Density functional theory data (PBE-GGA) for a relaxed structure of Rb3Ce3NbS8.

a b c (Å): 8.0879 8.0877 9.1370
angles (deg): 116.28 90.00 120.00
Fractional coordinates of all 15 atoms:
Rb 0.0000 0.5000 0.0000
Ce 0.0000 0.5000 0.5000
Rb 0.0000 0.0000 0.0000
Rb 0.5000 0.5000 0.0000
S 0.7841 0.5682 0.3171
Nb 0.0000 0.0000 0.5000
S 0.2159 0.4318 0.6829
S 0.2488 0.0329 0.3171
S 0.2671 0.5342 0.3014
S 0.7842 0.0329 0.3171
Ce 0.5000 0.0000 0.5000
S 0.7329 0.4658 0.6986
S 0.7512 0.9671 0.6829
S 0.2158 0.9671 0.6829
Ce 0.5000 0.5000 0.5000

Computed properties:
As for the formation energy (no corrections): -1.5886 eV per atom. For the density of states at the Fermi level, the calculation gives 17.8 states/eV/f.u. For the total moment, the calculation gives 4.01 μB per cell. As for the crystal system: trigonal.

=====

Density functional theory data (PBE-GGA) for a relaxed structure of Sr2PmGa.

a b c (Å): 3.8275 3.8275 12.3327
angles (deg): 81.07 81.07 60.00
Fractional coordinates of all 4 atoms:
Pm 0.0000 0.0000 0.0000
Ga 0.5000 0.5000 0.5000
Sr 0.8987 0.8987 0.3039
Sr 0.1013 0.1013 0.6961

Computed properties:
For the density of states at the Fermi level, the calculation gives 4.2 states/eV/f.u. For the calculated formation energy, the calculation gives 131.3 meV per atom. For the total moment, the calculation gives 0.59 μB per cell. As for the crystal system: trigonal.

=====

Density functional theory data (PBE-GGA) for a relaxed structure of ScNiAg2.

a b c (Å): 3.3793 3.3199 6.9177
angles (deg): 61.38 90.00 90.00
Fractional coordinates of all 4 atoms:
Ag 0.5000 0.2365 0.2633
Sc 0.5000 0.7792 0.7210
Ni 0.0000 0.4917 0.5084
Ag 0.0000 0.9926 0.0073

Computed properties:
For the density of states at the Fermi level, the calculation gives 1.9 states/eV/f.u. For the calculated formation energy, the calculation gives -169.8 meV per atom. For the total moment, the calculation gives 0.00 μB per cell. As for the crystal system: orthorhombic.